Record 1
## Tl3AsRu (PBE)

Data for a relaxed Tl3AsRu crystal.

ΔE to the lowest computed polymorph: 0.617 eV/atom
Calculated volume: 32.05 A^3/atom
ΔH_f (0 K): 5.95 eV/f.u.
Crystal system: cubic
Calculated total energy: -3.015 eV/atom
SG: No. 221

Structure (POSCAR):
```
Tl3AsRu
1.0
5.432 0.000 0.000
0.000 5.432 0.000
0.000 0.000 5.432
Tl As Ru
3 1 1
Direct
0.000 0.000 0.500
0.000 0.500 0.000
0.500 0.000 0.000
0.000 0.000 0.000
0.500 0.500 0.500
```

Record 2
## TlAsRu2 (PBE)

Data for a relaxed TlAsRu2 crystal.

ΔE to the lowest computed polymorph: 0.276 eV/atom
Calculated volume: 18.38 A^3/atom
ΔH_f (0 K): 1.89 eV/f.u.
Crystal system: tetragonal
Calculated total energy: -5.920 eV/atom
SG: No. 122

Structure (POSCAR):
```
TlAsRu2
1.0
-3.543 3.543 2.930
3.543 -3.543 2.930
3.543 3.543 -2.930
Tl As Ru
2 2 4
Direct
0.000 0.000 0.000
0.750 0.250 0.500
0.250 0.750 0.500
0.500 0.500 0.000
0.185 0.625 0.060
0.375 0.435 0.560
0.565 0.125 0.940
0.875 0.815 0.440
```

Record 3
## TlAsRu2 (PBE)

Data for a relaxed TlAsRu2 crystal.

ΔE to the lowest computed polymorph: 0.053 eV/atom
Calculated volume: 18.24 A^3/atom
ΔH_f (0 K): 1.00 eV/f.u.
Crystal system: tetragonal
Calculated total energy: -6.142 eV/atom
SG: No. 99

Structure (POSCAR):
```
TlAsRu2
1.0
2.939 0.000 0.000
0.000 2.939 0.000
0.000 0.000 8.449
Tl As Ru
1 1 2
Direct
0.000 0.000 0.000
0.500 0.500 0.355
0.000 0.000 0.539
0.500 0.500 0.742
```

Record 4
## TlAsRu2 (PBE)

Data for a relaxed TlAsRu2 crystal.

ΔE to the lowest computed polymorph: 0.189 eV/atom
Calculated volume: 16.34 A^3/atom
ΔH_f (0 K): 1.54 eV/f.u.
Crystal system: cubic
Calculated total energy: -6.007 eV/atom
SG: No. 225

Structure (POSCAR):
```
TlAsRu2
1.0
0.000 3.197 3.197
3.197 0.000 3.197
3.197 3.197 0.000
Tl As Ru
1 1 2
Direct
0.000 0.000 0.000
0.500 0.500 0.500
0.250 0.250 0.250
0.750 0.750 0.750
```

Record 5
## Tl3AsRu (PBE)

Data for a relaxed Tl3AsRu crystal.

ΔE to the lowest computed polymorph: 0.000 eV/atom
Calculated volume: 29.44 A^3/atom
ΔH_f (0 K): 2.86 eV/f.u.
Crystal system: cubic
Calculated total energy: -3.632 eV/atom
SG: No. 221

Structure (POSCAR):
```
Tl3AsRu
1.0
5.280 0.000 0.000
0.000 5.280 0.000
0.000 0.000 5.280
Tl As Ru
3 1 1
Direct
0.000 0.000 0.500
0.000 0.500 0.000
0.500 0.000 0.000
0.500 0.500 0.500
0.000 0.000 0.000
```

Record 6
## TlAsRu2 (PBE)

Data for a relaxed TlAsRu2 crystal.

ΔE to the lowest computed polymorph: 0.433 eV/atom
Calculated volume: 17.38 A^3/atom
ΔH_f (0 K): 2.52 eV/f.u.
Crystal system: orthorhombic
Calculated total energy: -5.763 eV/atom
SG: No. 47

Structure (POSCAR):
```
TlAsRu2
1.0
3.206 0.000 0.000
0.000 4.222 0.000
0.000 0.000 5.137
Tl As Ru
1 1 2
Direct
0.000 0.000 0.000
0.500 0.000 0.500
0.000 0.500 0.500
0.500 0.500 0.000
```

Record 7
## TlAsRu2 (PBE)

Data for a relaxed TlAsRu2 crystal.

ΔE to the lowest computed polymorph: 0.010 eV/atom
Calculated volume: 17.76 A^3/atom
ΔH_f (0 K): 0.83 eV/f.u.
Crystal system: orthorhombic
Calculated total energy: -6.186 eV/atom
SG: No. 44

Structure (POSCAR):
```
TlAsRu2
1.0
-1.559 1.604 7.100
1.559 -1.604 7.100
1.559 1.604 -7.100
Tl As Ru
1 1 2
Direct
0.000 0.000 0.000
0.255 0.755 0.500
0.630 0.630 0.000
0.830 0.330 0.500
```

Record 8
## TlAsRu2 (PBE)

Data for a relaxed TlAsRu2 crystal.

ΔE to the lowest computed polymorph: 0.476 eV/atom
Calculated volume: 17.23 A^3/atom
ΔH_f (0 K): 2.69 eV/f.u.
Crystal system: cubic
Calculated total energy: -5.720 eV/atom
SG: No. 216

Structure (POSCAR):
```
TlAsRu2
1.0
0.000 3.254 3.254
3.254 0.000 3.254
3.254 3.254 0.000
Tl As Ru
1 1 2
Direct
0.000 0.000 0.000
0.750 0.750 0.750
0.250 0.250 0.250
0.500 0.500 0.500
```